1.
Density functional theory data (GGA-PBE) for crystalline Ca3TiPt at its relaxed geometry.

```
Ca3TiPt
1.0
5.523 0.000 0.000
0.000 5.523 0.000
0.000 0.000 5.523
Ca Ti Pt
3 1 1
direct
0.000 0.000 0.500
0.000 0.500 0.000
0.500 0.000 0.000
0.500 0.500 0.500
0.000 0.000 0.000
```

**Polymorph energy (0 for the lowest one)**: 0 meV/atom
**Volume**: 33.7 Å³/atom
**Total moment**: 0.64 μB/atom
**Formation energy from the elements**: 58 meV per atom


2.
Density functional theory data (GGA-PBE) for crystalline TaTc2TeMo at its relaxed geometry.

```
TaTc2TeMo
1.0
4.691 0.000 0.000
0.000 4.691 0.000
0.000 0.000 5.104
Ta Tc Te Mo
1 2 1 1
direct
0.000 0.000 0.000
0.000 0.500 0.000
0.500 0.000 0.000
0.000 0.000 0.500
0.500 0.500 0.500
```

**E_tot**: -7.330 eV per atom
**Volume**: 22.5 Å³/atom
**Total moment**: 0.00 μB/atom